The following is a GGA-PBE calculation of a geometry-optimized LiHg3Au structure, from the Alexandria database.

extended XYZ file:
```
5
Lattice="5.407 0.000 0.000 0.000 5.407 0.000 0.000 0.000 5.407" Properties=species:S:1:pos:R:3 pbc="T T T"
Li 0.000 0.000 0.000
Hg 0.000 2.703 2.703
Hg 2.703 0.000 2.703
Hg 2.703 2.703 0.000
Au 2.703 2.703 2.703
```

Output
The symmetry is No. 221. The calculation puts the energy above the most stable polymorph in this dataset at 0 meV per atom. The value obtained for the calculated total energy is -1.134 eV per atom. The formation energy is 41 kJ/mol of formula units.

The following is a GGA-PBE calculation of a geometry-optimized Li2Hg5Au structure, from the Alexandria database.

extended XYZ file:
```
16
Lattice="1.899 -4.982 0.000 1.899 4.982 0.000 0.000 0.000 18.353" Properties=species:S:1:pos:R:3 pbc="T T T"
Li 1.899 2.753 12.130
Li 1.899 2.753 15.400
Li 1.899 -2.753 2.953
Li 1.899 -2.753 6.223
Hg 1.899 4.339 1.883
Hg 1.899 4.339 7.293
Hg 1.899 1.471 0.773
Hg 1.899 1.471 8.404
Hg 1.899 0.517 4.588
Hg 1.899 -0.517 13.765
Hg 1.899 -1.471 9.950
Hg 1.899 -1.471 17.580
Hg 1.899 -4.339 11.060
Hg 1.899 -4.339 16.470
Au 1.899 3.320 4.588
Au 1.899 -3.320 13.765
```

Output
The symmetry is No. 63. The value obtained for the calculated total energy is -1.298 eV per atom. The formation energy is -171 kJ/mol of formula units.

The following is a GGA-PBE calculation of a geometry-optimized Li6HgAu6 structure, from the Alexandria database.

extended XYZ file:
```
13
Lattice="5.551 0.000 0.000 -2.776 4.808 0.000 0.000 0.000 8.990" Properties=species:S:1:pos:R:3 pbc="T T T"
Li 0.000 0.000 1.698
Li 0.000 0.000 7.291
Li 0.000 3.205 0.000
Li 0.000 3.205 4.495
Li 2.776 1.603 0.000
Li 2.776 1.603 4.495
Hg 0.000 0.000 4.495
Au -1.388 2.404 2.223
Au -1.388 2.404 6.766
Au 2.776 0.000 2.223
Au 2.776 0.000 6.766
Au 1.388 2.404 2.223
Au 1.388 2.404 6.766
```

Output
The symmetry is No. 191. The value obtained for the calculated total energy is -2.835 eV per atom. The formation energy is -522 kJ/mol of formula units.

The following is a GGA-PBE calculation of a geometry-optimized Li3HgAu4 structure, from the Alexandria database.

extended XYZ file:
```
16
Lattice="9.309 0.000 0.000 0.000 6.113 0.000 0.000 0.000 4.787" Properties=species:S:1:pos:R:3 pbc="T T T"
Li 0.000 0.000 0.000
Li 2.327 0.000 1.847
Li 2.327 3.056 1.874
Li 4.654 0.000 0.000
Li 6.981 0.000 2.940
Li 6.981 3.056 2.913
Hg 0.000 3.056 0.000
Hg 4.654 3.056 0.000
Au 0.000 1.426 2.394
Au 0.000 4.687 2.394
Au 2.327 1.436 4.201
Au 2.327 4.677 4.201
Au 4.654 1.426 2.394
Au 4.654 4.687 2.394
Au 6.981 1.436 0.586
Au 6.981 4.677 0.586
```

Output
The symmetry is No. 51. The calculation puts the energy above the most stable polymorph in this dataset at 0 meV per atom. The value obtained for the calculated total energy is -2.792 eV per atom. The formation energy is -307 kJ/mol of formula units.

The following is a GGA-PBE calculation of a geometry-optimized Li4Hg5Au2 structure, from the Alexandria database.

extended XYZ file:
```
11
Lattice="7.461 0.000 0.000 0.000 3.111 0.000 -1.083 0.000 9.386" Properties=species:S:1:pos:R:3 pbc="T T T"
Li 1.016 0.000 3.473
Li 0.618 0.000 8.739
Li 5.759 0.000 0.647
Li 5.362 0.000 5.913
Hg 0.451 1.555 5.985
Hg 3.373 1.555 1.540
Hg 3.189 1.555 4.693
Hg 3.005 1.555 7.847
Hg 5.927 1.555 3.402
Au 0.488 1.555 1.330
Au 5.890 1.555 8.056
```

Output
The symmetry is No. 10. The calculation puts the energy above the most stable polymorph in this dataset at 0 meV per atom. The value obtained for the calculated total energy is -1.760 eV per atom. The formation energy is -351 kJ/mol of formula units.

The following is a GGA-PBE calculation of a geometry-optimized Li5HgAu6 structure, from the Alexandria database.

extended XYZ file:
```
12
Lattice="-2.165 3.561 6.351 2.165 -3.561 6.351 2.165 3.561 -6.351" Properties=species:S:1:pos:R:3 pbc="T T T"
Li 0.000 0.000 0.000
Li 2.165 0.000 2.267
Li 0.000 0.000 4.396
Li 0.000 0.000 8.306
Li 0.000 3.561 4.084
Hg 0.000 3.561 0.000
Au 2.165 -1.962 4.158
Au 2.165 1.504 0.000
Au 0.000 1.599 2.193
Au 2.165 1.962 4.158
Au 0.000 2.056 6.351
Au 0.000 5.523 2.193
```

Output
The symmetry is No. 71. The value obtained for the calculated total energy is -2.917 eV per atom. The formation energy is -528 kJ/mol of formula units.